# PBEsol CaLaCd2, relaxed
data_CaLaCd2
_chemical_formula_sum 'Ca1 La1 Cd2'
_cell_length_a 3.7470
_cell_length_b 5.4531
_cell_length_c 5.4531
_cell_angle_alpha 90.00
_cell_angle_beta 90.00
_cell_angle_gamma 90.00
_space_group_name_H-M_alt 'P 1'
_space_group_IT_number 1
loop_
_space_group_symop_operation_xyz
'x,y,z'
loop_
_atom_site_label
_atom_site_fract_x
_atom_site_fract_y
_atom_site_fract_z
Ca1 0.5000 0.5000 0.1249
Cd1 0.0000 0.5000 0.6249
Cd2 0.0000 0.0000 0.1251
La1 0.5000 0.0000 0.6251
# V in Å³ per cell: 111.42
# Calculated total energy in eV/atom: -2.82
# ΔE to the lowest computed polymorph in kJ per mole of atoms: 2.0